Entry 1:
First-principles (PBE-GGA) data for an optimized crystal structure of ZrAg3Ge, as listed in the Alexandria database.

The value obtained for the energy is -3.767 eV/atom. As for the crystal system: cubic. The value obtained for the energy above the lowest structure with this stoichiometry is 0.000 eV/atom.

The structure belongs to space group Pm-3m (No. 221); the cell edges are 4.8020, 4.8020 and 4.8020 Å and the angles 90.00°, 90.00° and 90.00°. The asymmetric unit holds Zr at (0.0000, 0.0000, 0.0000), Ag at (0.0000, 0.5000, 0.5000) and Ge at (0.5000, 0.5000, 0.5000).

=====

Entry 2:
First-principles (PBE-GGA) data for an optimized crystal structure of Pm2Dy4Er5, as listed in the Alexandria database.

The value obtained for the energy is -4.548 eV/atom. As for the crystal system: triclinic. The value obtained for the energy above the lowest structure with this stoichiometry is 0.000 eV/atom.

The structure belongs to space group P-1 (No. 2); the cell edges are 3.6570, 9.1819 and 10.8431 Å and the angles 77.56°, 80.32° and 90.00°. The asymmetric unit holds Pm at (0.1146, 0.0044, 0.2715), Dy at (0.1719, 0.4189, 0.1568), Dy at (0.4715, 0.7934, 0.5566), Er at (0.0000, 0.5000, 0.5000), Er at (0.2510, 0.8280, 0.9975) and Er at (0.3814, 0.3066, 0.7374).

=====

Entry 3:
First-principles (PBE-GGA) data for an optimized crystal structure of RbGe2Au3, as listed in the Alexandria database.

The value obtained for the energy is -3.559 eV/atom. As for the crystal system: orthorhombic.

The structure belongs to space group Pmmn (No. 59, origin choice 2); the cell edges are 4.8742, 12.7435 and 5.0411 Å and the angles 90.00°, 90.00° and 90.00°. The asymmetric unit holds Rb at (0.2500, 0.2500, 0.1691), Ge at (0.2500, 0.5518, 0.3467), Au at (0.2500, 0.0007, 0.8403) and Au at (0.2500, 0.7500, 0.3540).

=====

Entry 4:
First-principles (PBE-GGA) data for an optimized crystal structure of TiPN3, as listed in the Alexandria database.

The value obtained for the energy is -8.077 eV/atom. As for the crystal system: trigonal.

The structure belongs to space group R3c (No. 161, hexagonal axes); the cell edges are 4.9307, 4.9307 and 12.3594 Å and the angles 90.00°, 90.00° and 120.00°. The asymmetric unit holds Ti at (0.0000, 0.0000, 0.0000), P at (0.0000, 0.0000, 0.2279) and N at (0.0670, 0.3485, 0.2997).

=====

Entry 5:
First-principles (PBE-GGA) data for an optimized crystal structure of TaInAu2, as listed in the Alexandria database.

The value obtained for the energy is -4.967 eV/atom. As for the crystal system: tetragonal.

The structure belongs to space group I-42d (No. 122); the cell edges are 7.4756, 7.4756 and 5.9999 Å and the angles 90.00°, 90.00° and 90.00°. The asymmetric unit holds Ta at (0.0000, 0.0000, 0.0000), In at (0.0000, 0.0000, 0.5000) and Au at (0.2382, 0.2500, 0.1250).

=====

- Number 2 is which compound?
  Pm2Dy4Er5

=====

- What is the formula in the fourth record?
  TiPN3